1.
An optimized crystal structure of MgAgN, computed with PBE-GGA.

Cell lengths 7.600, 3.681, 5.833 Å; angles 90.00, 90.00, 90.00 degrees
Fractional coordinates of all 12 atoms:
Mg1 0.865 0.250 0.403
Mg2 0.635 0.750 0.903
Mg3 0.135 0.750 0.597
Mg4 0.365 0.250 0.097
Ag1 0.911 0.250 0.875
Ag2 0.589 0.750 0.375
Ag3 0.089 0.750 0.125
Ag4 0.411 0.250 0.625
N1 0.155 0.250 0.368
N2 0.345 0.750 0.868
N3 0.845 0.750 0.632
N4 0.655 0.250 0.132

## Properties
E_form (uncorrected): 0.088 eV/atom
DOS(E_F): 0.237 states/eV/f.u.
Spin magnetization: 0.00 μB per formula unit
Space group: Pnma (62)

***

2.
An optimized crystal structure of MgAgN, computed with PBE-GGA.

Cell lengths 3.108, 11.025, 3.108 Å; angles 81.89, 119.99, 81.90 degrees
Fractional coordinates of all 6 atoms:
Mg1 0.949 0.157 0.341
Mg2 0.928 0.512 0.652
Ag1 0.493 0.946 0.217
Ag2 0.384 0.723 0.775
N1 0.498 0.275 0.556
N2 0.379 0.394 0.437

## Properties
E_form (uncorrected): -0.076 eV/atom
DOS(E_F): 1.049 states/eV/f.u.
Spin magnetization: 0.00 μB per formula unit
Space group: P-3m1 (164)

***

3.
An optimized crystal structure of MgAg2N, computed with PBE-GGA.

Cell lengths 5.181, 5.181, 7.229 Å; angles 69.00, 69.00, 90.00 degrees
Fractional coordinates of all 8 atoms:
Mg1 0.000 0.000 0.000
Mg2 0.750 0.250 0.500
Ag1 0.478 0.125 0.250
Ag2 0.272 0.625 0.250
Ag3 0.375 0.522 0.750
Ag4 0.875 0.728 0.750
N1 0.500 0.500 0.000
N2 0.250 0.750 0.500

## Properties
E_form (uncorrected): 0.791 eV/atom
DOS(E_F): 3.031 states/eV/f.u.
Spin magnetization: 0.00 μB per formula unit
Space group: I-42d (122)

***

4.
An optimized crystal structure of MgAgN, computed with PBE-GGA.

Cell lengths 4.035, 5.182, 4.037 Å; angles 90.00, 93.24, 90.00 degrees
Fractional coordinates of all 6 atoms:
Mg1 0.327 0.334 0.558
Mg2 0.827 0.334 0.058
Ag1 0.578 0.834 0.309
Ag2 0.078 0.834 0.809
N1 0.828 0.492 0.559
N2 0.328 0.176 0.059

## Properties
E_form (uncorrected): -0.092 eV/atom
DOS(E_F): 0.000 states/eV/f.u.
Spin magnetization: 0.00 μB per formula unit
Space group: Cmme (67)

***

5.
An optimized crystal structure of MgAgN, computed with PBE-GGA.

Cell lengths 4.735, 4.735, 7.591 Å; angles 90.00, 90.00, 120.00 degrees
Fractional coordinates of all 6 atoms:
Mg1 0.000 0.000 0.250
Mg2 0.000 0.000 0.750
Ag1 0.333 0.667 0.250
Ag2 0.667 0.333 0.750
N1 0.000 0.000 0.000
N2 0.000 0.000 0.500

## Properties
E_form (uncorrected): 1.140 eV/atom
DOS(E_F): 1.222 states/eV/f.u.
Spin magnetization: 0.04 μB per formula unit
Space group: P6_3/mmc (194)

***

6.
An optimized crystal structure of Mg2AgN, computed with PBE-GGA.

Cell lengths 3.195, 3.195, 7.161 Å; angles 77.11, 77.11, 60.00 degrees
Fractional coordinates of all 4 atoms:
Mg1 0.217 0.217 0.348
Mg2 0.783 0.783 0.652
Ag1 0.000 0.000 0.000
N1 0.500 0.500 0.500

## Properties
E_form (uncorrected): -0.427 eV/atom
DOS(E_F): 1.247 states/eV/f.u.
Spin magnetization: 0.00 μB per formula unit
Space group: R-3m (166)

***

7.
An optimized crystal structure of MgAgN, computed with PBE-GGA.

Cell lengths 5.604, 5.603, 3.600 Å; angles 71.28, 71.30, 67.65 degrees
Fractional coordinates of all 6 atoms:
Mg1 0.216 0.112 0.725
Mg2 0.716 0.612 0.225
Ag1 0.634 0.195 0.974
Ag2 0.134 0.695 0.474
N1 0.883 0.446 0.726
N2 0.383 0.946 0.226

## Properties
E_form (uncorrected): -0.013 eV/atom
DOS(E_F): 0.112 states/eV/f.u.
Spin magnetization: 0.00 μB per formula unit
Space group: Amm2 (38)

***

8.
An optimized crystal structure of MgAgN, computed with PBE-GGA.

Cell lengths 3.254, 8.616, 2.851 Å; angles 90.39, 90.00, 90.00 degrees
Fractional coordinates of all 6 atoms:
Mg1 0.744 0.451 0.145
Mg2 0.244 0.217 0.640
Ag1 0.744 0.949 0.643
Ag2 0.244 0.719 0.139
N1 0.244 0.482 0.645
N2 0.744 0.187 0.140

## Properties
E_form (uncorrected): 0.016 eV/atom
DOS(E_F): 1.088 states/eV/f.u.
Spin magnetization: 0.00 μB per formula unit
Space group: Pm (6)

***

9.
An optimized crystal structure of MgNi2AgN, computed with PBE-GGA.

Cell lengths 4.758, 3.826, 4.758 Å; angles 90.00, 90.00, 90.00 degrees
Fractional coordinates of all 5 atoms:
Ni1 0.000 0.000 0.500
Ni2 0.500 0.000 0.000
Mg1 0.500 0.500 0.500
Ag1 0.000 0.000 0.000
N1 0.000 0.500 0.000

## Properties
E_form (uncorrected): 1.381 eV/atom
DOS(E_F): 5.467 states/eV/f.u.
Spin magnetization: 0.47 μB per formula unit
Space group: P4/mmm (123)

***

10.
An optimized crystal structure of MgNi2AgN, computed with PBE-GGA.

Cell lengths 3.839, 3.839, 4.193 Å; angles 90.00, 90.00, 90.00 degrees
Fractional coordinates of all 5 atoms:
Ni1 0.000 0.500 0.000
Ni2 0.500 0.000 0.000
Mg1 0.000 0.000 0.500
Ag1 0.500 0.500 0.500
N1 0.000 0.000 0.000

## Properties
E_form (uncorrected): -0.105 eV/atom
DOS(E_F): 3.773 states/eV/f.u.
Spin magnetization: 0.00 μB per formula unit
Space group: P4/mmm (123)

***

11.
An optimized crystal structure of MgAgN2O, computed with PBE-GGA.

Cell lengths 4.212, 4.212, 3.880 Å; angles 90.00, 90.00, 90.00 degrees
Fractional coordinates of all 5 atoms:
Mg1 0.000 0.000 0.000
O1 0.000 0.000 0.500
Ag1 0.500 0.500 0.500
N1 0.000 0.500 0.000
N2 0.500 0.000 0.000

## Properties
E_form (uncorrected): 1.119 eV/atom
DOS(E_F): 2.670 states/eV/f.u.
Spin magnetization: 4.99 μB per formula unit
Space group: P4/mmm (123)

***

Which value of spin magnetization does entry 2 give? 0.00 μB per formula unit

***

What did the eleventh record say?
An optimized crystal structure of MgAgN2O, computed with PBE-GGA.

Cell lengths 4.212, 4.212, 3.880 Å; angles 90.00, 90.00, 90.00 degrees
Fractional coordinates of all 5 atoms:
Mg1 0.000 0.000 0.000
O1 0.000 0.000 0.500
Ag1 0.500 0.500 0.500
N1 0.000 0.500 0.000
N2 0.500 0.000 0.000

## Properties
E_form (uncorrected): 1.119 eV/atom
DOS(E_F): 2.670 states/eV/f.u.
Spin magnetization: 4.99 μB per formula unit
Space group: P4/mmm (123)

***

DOS(E_F) of number 3 (MgAg2N)? 3.031 states/eV/f.u.